# 1
This record from Alexandria via LeMat-Bulk describes a crystal of Hf2ReAg relaxed with PBEsol. The functional is meta-GGA SCAN. Values from VASP.

Summary:
space-group type	Fm-3m, No. 225
formation energy	-1.16	eV/f.u.
total moment	0.00	Bohr magnetons per cell
DFT total energy	-57.244	eV/atom

The structure in Quantum ESPRESSO input format:
```
&SYSTEM
  ibrav = 0, nat = 4, ntyp = 3
/
ATOMIC_SPECIES
Re 186.21 Re.upf
Hf 178.49 Hf.upf
Ag 107.87 Ag.upf
CELL_PARAMETERS angstrom
-2.791 -0.309 3.707
0.958 -3.042 3.385
1.464 1.518 4.145
ATOMIC_POSITIONS crystal
Re 0.500 0.500 0.500
Hf 0.250 0.250 0.250
Hf 0.750 0.750 0.750
Ag 0.000 0.000 0.000
```



# 2
This record from Alexandria via LeMat-Bulk describes a crystal of HfAg3Rh relaxed with PBEsol. The functional is meta-GGA SCAN. Values from VASP.

Summary:
energy above the lowest structure with this stoichiometry	0.000	eV/atom
space-group type	Pm-3m, No. 221
formation energy	6.41	eV/f.u.
total moment	0.65	Bohr magnetons per cell
DFT total energy	-36.827	eV/atom

The structure in Quantum ESPRESSO input format:
```
&SYSTEM
  ibrav = 0, nat = 5, ntyp = 3
/
ATOMIC_SPECIES
Rh 102.91 Rh.upf
Hf 178.49 Hf.upf
Ag 107.87 Ag.upf
CELL_PARAMETERS angstrom
4.800 0.000 0.000
0.000 4.800 0.000
0.000 0.000 4.800
ATOMIC_POSITIONS crystal
Rh 0.000 0.000 0.000
Hf 0.500 0.500 0.500
Ag 0.000 0.500 0.000
Ag 0.000 0.000 0.500
Ag 0.500 0.000 0.000
```



# 3
This record from Alexandria via LeMat-Bulk describes a crystal of Hf2AgRh2 relaxed with PBEsol. The functional is meta-GGA SCAN. Values from VASP.

Summary:
space-group type	P4/mbm, No. 127
formation energy	-3.68	eV/f.u.
total moment	0.00	Bohr magnetons per cell
DFT total energy	-45.587	eV/atom

The structure in Quantum ESPRESSO input format:
```
&SYSTEM
  ibrav = 0, nat = 10, ntyp = 3
/
ATOMIC_SPECIES
Rh 102.91 Rh.upf
Hf 178.49 Hf.upf
Ag 107.87 Ag.upf
CELL_PARAMETERS angstrom
-0.686 1.390 -2.722
-7.253 -0.706 1.466
0.037 6.623 3.374
ATOMIC_POSITIONS crystal
Rh 0.000 0.363 0.863
Rh 0.000 0.863 0.637
Rh 0.000 0.637 0.137
Rh 0.000 0.137 0.363
Hf 0.500 0.161 0.661
Hf 0.500 0.661 0.839
Hf 0.500 0.839 0.339
Hf 0.500 0.339 0.161
Ag 0.000 0.000 0.000
Ag 0.000 0.500 0.500
```



# 4
This record from Alexandria via LeMat-Bulk describes a crystal of HfAg3Rh relaxed with PBEsol. The functional is meta-GGA SCAN. Values from VASP.

Summary:
energy above the lowest structure with this stoichiometry	0.535	eV/atom
space-group type	Pm-3m, No. 221
formation energy	9.09	eV/f.u.
total moment	0.01	Bohr magnetons per cell
DFT total energy	-36.292	eV/atom

The structure in Quantum ESPRESSO input format:
```
&SYSTEM
  ibrav = 0, nat = 5, ntyp = 3
/
ATOMIC_SPECIES
Rh 102.91 Rh.upf
Hf 178.49 Hf.upf
Ag 107.87 Ag.upf
CELL_PARAMETERS angstrom
-2.402 0.262 4.285
2.616 -3.804 1.699
3.404 3.108 1.718
ATOMIC_POSITIONS crystal
Rh 0.500 0.500 0.500
Hf 0.000 0.000 0.000
Ag 0.000 0.500 0.000
Ag 0.000 0.000 0.500
Ag 0.500 0.000 0.000
```



# 5
This record from Alexandria via LeMat-Bulk describes a crystal of HfAgRu3 relaxed with PBEsol. The functional is meta-GGA SCAN. Values from VASP.

Summary:
space-group type	Pm-3m, No. 221
formation energy	9.78	eV/f.u.
total moment	4.09	Bohr magnetons per cell
DFT total energy	-37.749	eV/atom

The structure in Quantum ESPRESSO input format:
```
&SYSTEM
  ibrav = 0, nat = 5, ntyp = 3
/
ATOMIC_SPECIES
Ru 101.07 Ru.upf
Hf 178.49 Hf.upf
Ag 107.87 Ag.upf
CELL_PARAMETERS angstrom
4.623 0.000 0.000
0.000 4.623 0.000
0.000 0.000 4.623
ATOMIC_POSITIONS crystal
Ru 0.000 0.500 0.000
Ru 0.000 0.000 0.500
Ru 0.500 0.000 0.000
Hf 0.500 0.500 0.500
Ag 0.000 0.000 0.000
```



# 6
This record from Alexandria via LeMat-Bulk describes a crystal of HfAgSb2 relaxed with PBEsol. The functional is meta-GGA SCAN. Values from VASP.

Summary:
space-group type	I-42d, No. 122
total moment	0.00	Bohr magnetons per cell
E_form (uncorrected)	0.099	eV per atom
DFT total energy	-42.041	eV/atom

The structure in Quantum ESPRESSO input format:
```
&SYSTEM
  ibrav = 0, nat = 8, ntyp = 3
/
ATOMIC_SPECIES
Sb 121.76 Sb.upf
Hf 178.49 Hf.upf
Ag 107.87 Ag.upf
CELL_PARAMETERS angstrom
-5.611 1.887 -1.940
-4.959 -0.538 3.818
-1.817 5.927 1.017
ATOMIC_POSITIONS crystal
Sb 0.138 0.987 0.487
Sb 0.612 0.013 0.513
Sb 0.375 0.487 0.013
Sb 0.875 0.513 0.987
Hf 0.750 0.500 0.500
Hf 0.000 0.000 0.000
Ag 0.250 0.500 0.500
Ag 0.500 0.000 0.000
```



# 7
This record from Alexandria via LeMat-Bulk describes a crystal of HfAgSb2 relaxed with PBEsol. The functional is meta-GGA SCAN. Values from VASP.

Summary:
space-group type	Fm-3m, No. 225
total moment	0.00	Bohr magnetons per cell
E_form (uncorrected)	0.065	eV per atom
DFT total energy	-42.075	eV/atom

The structure in Quantum ESPRESSO input format:
```
&SYSTEM
  ibrav = 0, nat = 4, ntyp = 3
/
ATOMIC_SPECIES
Sb 121.76 Sb.upf
Hf 178.49 Hf.upf
Ag 107.87 Ag.upf
CELL_PARAMETERS angstrom
-4.069 -0.789 2.766
-4.396 -0.800 -2.206
-2.074 -4.528 0.146
ATOMIC_POSITIONS crystal
Sb 0.250 0.250 0.250
Sb 0.750 0.750 0.750
Hf 0.500 0.500 0.500
Ag 0.000 0.000 0.000
```



# 8
This record from Alexandria via LeMat-Bulk describes a crystal of HfSc2AgSb relaxed with PBEsol. The functional is meta-GGA SCAN. Values from VASP.

Summary:
space-group type	P4/mmm, No. 123
total moment	0.00	Bohr magnetons per cell
E_form (uncorrected)	0.838	eV per atom
DFT total energy	-31.117	eV/atom

The structure in Quantum ESPRESSO input format:
```
&SYSTEM
  ibrav = 0, nat = 5, ntyp = 4
/
ATOMIC_SPECIES
Sc 44.96 Sc.upf
Sb 121.76 Sb.upf
Hf 178.49 Hf.upf
Ag 107.87 Ag.upf
CELL_PARAMETERS angstrom
-4.704 1.034 -1.312
-0.369 -4.575 -2.282
-1.675 -2.053 4.387
ATOMIC_POSITIONS crystal
Sc 0.000 0.000 0.500
Sc 0.000 0.500 0.000
Sb 0.500 0.500 0.500
Hf 0.000 0.000 0.000
Ag 0.500 0.000 0.000
```



# 9
This record from Alexandria via LeMat-Bulk describes a crystal of HfAgSe2 relaxed with PBEsol. The functional is meta-GGA SCAN. Values from VASP.

Summary:
space-group type	Fm-3m, No. 225
total moment	0.00	Bohr magnetons per cell
E_form (uncorrected)	-0.430	eV per atom
DFT total energy	-33.979	eV/atom

The structure in Quantum ESPRESSO input format:
```
&SYSTEM
  ibrav = 0, nat = 4, ntyp = 3
/
ATOMIC_SPECIES
Hf 178.49 Hf.upf
Se 78.96 Se.upf
Ag 107.87 Ag.upf
CELL_PARAMETERS angstrom
-2.411 -2.661 -3.064
-3.230 -3.065 1.567
-4.589 0.823 -0.740
ATOMIC_POSITIONS crystal
Hf 0.500 0.500 0.500
Se 0.250 0.250 0.250
Se 0.750 0.750 0.750
Ag 0.000 0.000 0.000
```



# 10
This record from Alexandria via LeMat-Bulk describes a crystal of Hf3AgSe relaxed with PBEsol. The functional is meta-GGA SCAN. Values from VASP.

Summary:
space-group type	Pm-3m, No. 221
total moment	0.01	Bohr magnetons per cell
E_form (uncorrected)	0.945	eV per atom
DFT total energy	-46.948	eV/atom

The structure in Quantum ESPRESSO input format:
```
&SYSTEM
  ibrav = 0, nat = 5, ntyp = 3
/
ATOMIC_SPECIES
Hf 178.49 Hf.upf
Se 78.96 Se.upf
Ag 107.87 Ag.upf
CELL_PARAMETERS angstrom
-2.872 -2.497 3.264
-0.008 -3.979 -3.050
4.110 -1.752 2.275
ATOMIC_POSITIONS crystal
Hf 0.000 0.500 0.000
Hf 0.000 0.000 0.500
Hf 0.500 0.000 0.000
Se 0.500 0.500 0.500
Ag 0.000 0.000 0.000
```



# 11
This record from Alexandria via LeMat-Bulk describes a crystal of Y2HfAgSe relaxed with PBEsol. The functional is meta-GGA SCAN. Values from VASP.

Summary:
space-group type	P4/mmm, No. 123
total moment	0.00	Bohr magnetons per cell
E_form (uncorrected)	0.339	eV per atom
DFT total energy	-33.622	eV/atom

The structure in Quantum ESPRESSO input format:
```
&SYSTEM
  ibrav = 0, nat = 5, ntyp = 4
/
ATOMIC_SPECIES
Y 88.91 Y.upf
Hf 178.49 Hf.upf
Se 78.96 Se.upf
Ag 107.87 Ag.upf
CELL_PARAMETERS angstrom
4.899 0.000 0.000
0.000 5.543 0.000
0.000 0.000 5.543
ATOMIC_POSITIONS crystal
Y 0.000 0.000 0.500
Y 0.000 0.500 0.000
Hf 0.000 0.000 0.000
Se 0.500 0.000 0.000
Ag 0.500 0.500 0.500
```



# 12
This record from Alexandria via LeMat-Bulk describes a crystal of Sr2HfAg2 relaxed with PBEsol. The functional is meta-GGA SCAN. Values from VASP.

Summary:
space-group type	I4/mmm, No. 139
formation energy	1.86	eV/f.u.
total moment	0.00	Bohr magnetons per cell
DFT total energy	-33.619	eV/atom

The structure in Quantum ESPRESSO input format:
```
&SYSTEM
  ibrav = 0, nat = 5, ntyp = 3
/
ATOMIC_SPECIES
Sr 87.62 Sr.upf
Hf 178.49 Hf.upf
Ag 107.87 Ag.upf
CELL_PARAMETERS angstrom
3.725 0.000 0.000
0.000 3.725 0.000
-1.862 -1.862 10.340
ATOMIC_POSITIONS crystal
Sr 0.382 0.382 0.764
Sr 0.618 0.618 0.236
Hf 0.000 0.000 0.000
Ag 0.250 0.750 0.500
Ag 0.750 0.250 0.500
```